## ZrS2 (PBE)

Data for an optimized crystal structure of ZrS2.

Cell lengths 3.688, 6.376, 12.837 Å; angles 90.00, 90.00, 90.00 degrees
Sites, in units of the cell vectors:
Zr 0.500 0.971 0.506
Zr 0.500 0.529 0.009
Zr 0.000 0.029 0.006
Zr 0.000 0.471 0.509
S 0.000 0.136 0.620
S 0.000 0.803 0.393
S 0.500 0.197 0.893
S 0.000 0.694 0.894
S 0.500 0.306 0.394
S 0.500 0.639 0.621
S 0.500 0.864 0.120
S 0.000 0.361 0.121

Calculated values
The value obtained for the raw total energy is -7.1176 eV per atom.

---

## LiReHg3S4 (PBE)

Data for an optimized crystal structure of LiReHg3S4.

Cell lengths 6.145, 6.145, 6.145 Å; angles 90.00, 90.00, 90.00 degrees
Site moments in Bohr magnetons follow the coordinates.
Sites, in units of the cell vectors:
Re 0.500 0.500 0.500  3.27
S 0.255 0.255 0.255  0.13
S 0.745 0.255 0.745  0.14
S 0.255 0.745 0.745  0.14
S 0.745 0.745 0.255  0.14
Li 0.000 0.000 0.000  0.02
Hg 0.000 0.500 0.500  0.03
Hg 0.500 0.500 0.000  0.04
Hg 0.500 0.000 0.500  0.03

Calculated values
The value obtained for the raw total energy is -3.2612 eV per atom.

---

## SrB4Os (PBE)

Data for an optimized crystal structure of SrB4Os.

Cell lengths 3.142, 3.142, 7.561 Å; angles 90.00, 90.00, 120.00 degrees
Sites, in units of the cell vectors:
B 0.667 0.333 0.207
B 0.333 0.667 0.793
B 0.333 0.667 0.207
B 0.667 0.333 0.793
Sr 0.000 0.000 0.500
Os 0.000 0.000 0.000

Calculated values
For the relative energy among the computed polymorphs, the calculation gives 0.00 eV per formula unit. The value obtained for the raw total energy is -6.4016 eV per atom.